# 1
A relaxed TmGa2Ni7 crystal. Source: Alexandria, functional GGA-PBE.

Cell: 6.704 6.704 4.271 Å, 90.00 90.00 122.49°
Fractional positions:
Tm 0.000 0.000 0.000
Ga 0.296 0.704 0.500
Ga 0.704 0.296 0.500
Ni 0.073 0.294 0.500
Ni 0.216 0.784 0.000
Ni 0.294 0.073 0.500
Ni 0.500 0.500 0.500
Ni 0.706 0.927 0.500
Ni 0.784 0.216 0.000
Ni 0.927 0.706 0.500

Properties
E in eV/atom: -4.920
E_form in eV per formula unit: 1.798
Spin magnetization in μB/cell: 0.6

---

# 2
A relaxed Nd2Si2BIr2 crystal. Source: Alexandria, functional GGA-PBE.

Cell: 11.164 4.181 7.177 Å, 90.00 129.73 90.00°
Fractional positions:
Nd 0.069 0.000 0.331
Nd 0.431 0.500 0.669
Nd 0.569 0.500 0.331
Nd 0.931 0.000 0.669
Si 0.156 0.500 0.107
Si 0.344 0.000 0.893
Si 0.656 0.000 0.107
Si 0.844 0.500 0.893
B 0.000 0.500 0.500
B 0.500 0.000 0.500
Ir 0.209 0.500 0.821
Ir 0.291 0.000 0.179
Ir 0.709 0.000 0.821
Ir 0.791 0.500 0.179

Properties
E in eV/atom: -7.316
Spin magnetization in μB/cell: 0.0
E_form (uncorrected) in kJ per mole of atoms: -88.6